The following is a PBE-GGA calculation of a relaxed MnSi2N crystal, from the Alexandria database.

Results
- VASP energy (eV/atom) = -7.29
- space-group type = P3m1, No. 156
- magnetization (μB/cell) = 0.512
- mass density (g/cm³) = 4.37

POSCAR file:
```
MnSi2N
1.0
2.868 0.000 0.000
-1.434 2.484 0.000
0.000 0.000 6.673
Si Mn N
2 1 1
direct
0.000 0.000 0.888
0.000 0.000 0.244
0.333 0.667 0.478
0.333 0.667 0.789
```


The following is a PBE-GGA calculation of a relaxed DyThAl2 crystal, from the Alexandria database.

Results
- VASP energy (eV/atom) = -5.16
- energy relative to the elements (meV per atom) = -280
- space-group type = Fm-3m, No. 225
- relative energy among the computed polymorphs (eV per atom) = 0.060
- magnetization (μB/cell) = 0.000
- mass density (g/cm³) = 7.53

POSCAR file:
```
DyThAl2
1.0
-3.731 -0.021 -3.610
-4.985 -0.279 1.421
-3.094 4.131 -0.560
Al Th Dy
2 1 1
direct
0.250 0.250 0.250
0.750 0.750 0.750
0.500 0.500 0.500
0.000 0.000 0.000
```


The following is a PBE-GGA calculation of a relaxed Dy2Ho3ScSe6 crystal, from the Alexandria database.

Results
- VASP energy (eV/atom) = -5.88
- space-group type = C2/m, No. 12
- magnetization (μB/cell) = 0.000
- mass density (g/cm³) = 7.98

POSCAR file:
```
Dy2Ho3ScSe6
1.0
4.026 0.000 0.000
0.000 8.091 0.293
-2.013 -2.327 8.469
Dy Ho Sc Se
2 3 1 6
direct
0.833 0.667 0.667
0.167 0.333 0.333
0.500 0.500 0.000
0.830 0.165 0.661
0.170 0.835 0.339
0.500 0.000 0.000
0.338 0.921 0.676
0.666 0.584 0.332
0.662 0.079 0.324
0.998 0.241 0.996
0.002 0.759 0.004
0.334 0.416 0.668
```


The following is a PBE-GGA calculation of a relaxed NaPrTlPd crystal, from the Alexandria database.

Results
- VASP energy (eV/atom) = -3.69
- energy relative to the elements (meV per atom) = -279
- space-group type = F-43m, No. 216
- magnetization (μB/cell) = 0.000
- mass density (g/cm³) = 7.89

POSCAR file:
```
NaPrTlPd
1.0
5.208 0.000 0.000
2.604 4.510 0.000
2.604 1.503 4.252
Pr Na Tl Pd
1 1 1 1
direct
0.750 0.750 0.750
0.250 0.250 0.250
0.000 0.000 0.000
0.500 0.500 0.500
```


The following is a PBE-GGA calculation of a relaxed KMgFe2 crystal, from the Alexandria database.

Results
- VASP energy (eV/atom) = -4.26
- energy relative to the elements (meV per atom) = 645
- space-group type = C2/m, No. 12
- relative energy among the computed polymorphs (eV per atom) = 0.161
- magnetization (μB/cell) = 5.306
- mass density (g/cm³) = 3.00

POSCAR file:
```
KMgFe2
1.0
-0.505 3.151 3.842
-2.621 3.785 1.936
-4.397 -4.106 3.517
Fe K Mg
2 1 1
direct
0.011 0.011 0.874
0.489 0.489 0.626
0.250 0.250 0.250
0.750 0.750 0.750
```


The following is a PBE-GGA calculation of a relaxed Ac2Al3Au9 crystal, from the Alexandria database.

Results
- VASP energy (eV/atom) = -4.09
- energy relative to the elements (meV per atom) = -597
- space-group type = C2/c, No. 15
- magnetization (μB/cell) = 0.000
- mass density (g/cm³) = 13.16

POSCAR file:
```
Ac2Al3Au9
1.0
-4.038 6.886 1.532
-0.340 -6.286 5.142
10.942 1.328 2.258
Ac Al Au
4 6 18
direct
0.338 0.247 0.753
0.662 0.753 0.247
0.994 0.585 0.747
0.006 0.415 0.253
0.500 0.000 0.000
0.500 0.500 0.500
0.846 0.173 0.504
0.154 0.827 0.496
0.169 0.342 0.996
0.831 0.658 0.004
0.445 0.917 0.741
0.555 0.083 0.259
0.677 0.704 0.759
0.323 0.296 0.241
0.453 0.645 0.932
0.547 0.355 0.068
0.213 0.521 0.568
0.787 0.479 0.432
0.890 0.140 0.750
0.110 0.860 0.250
0.137 0.984 0.951
0.863 0.016 0.049
0.533 0.186 0.549
0.467 0.814 0.451
0.871 0.853 0.562
0.129 0.147 0.438
0.791 0.309 0.938
0.209 0.691 0.062
```